(1)
InBF4: optimized geometry, PBE-GGA.

Computed properties:
energy relative to the lowest polymorph listed for this composition	5	meV per atom
formation energy without anion corrections	-2555	meV/atom

a b c (Å): 7.797 5.150 5.496
angles (deg): 90.00 90.00 90.00
Space group Pmn2_1 (No. 31)
Inequivalent atoms, fractional coordinates:
In (0.000, 0.214, 0.000) x2
B (0.000, 0.695, 0.504) x2
F (0.000, 0.420, 0.511) x2
F (0.000, 0.773, 0.255) x2
F (0.148, 0.793, 0.623) x4


(2)
Ce2Cl4F: optimized geometry, PBE-GGA.

Computed properties:
formation energy without anion corrections	-2418	meV/atom

a b c (Å): 4.9662 4.9662 26.0710
angles (deg): 90.00 90.00 120.00
Space group R-3m (No. 166, hexagonal axes)
Inequivalent atoms, fractional coordinates:
Ce (0.0000, 0.0000, 0.0880) x6
Cl (0.0000, 0.0000, 0.2055) x6
Cl (0.0000, 0.0000, 0.3919) x6
F (0.0000, 0.0000, 0.0000) x3


(3)
Sm3Er2: optimized geometry, PBE-GGA.

Computed properties:
formation energy from the elements	0.8	eV/f.u.

a b c (Å): 6.536 16.151 6.209
angles (deg): 90.00 90.00 90.00
Space group Ibam (No. 72)
Inequivalent atoms, fractional coordinates:
Sm (0.000, 0.000, 0.250) x4
Sm (0.108, 0.403, 0.000) x8
Er (0.137, 0.193, 0.000) x8


(4)
Pr2In2Hg7: optimized geometry, PBE-GGA.

Computed properties:
formation energy from the elements	-3.0	eV/f.u.

a b c (Å): 4.830 16.926 7.127
angles (deg): 90.00 90.00 90.00
Space group Imm2 (No. 44)
Inequivalent atoms, fractional coordinates:
Pr (0.000, 0.211, 0.000) x4
In (0.000, 0.000, 0.814) x2
In (0.000, 0.500, 0.001) x2
Hg (0.000, 0.000, 0.219) x2
Hg (0.000, 0.159, 0.506) x4
Hg (0.000, 0.371, 0.719) x4
Hg (0.000, 0.373, 0.286) x4


(5)
SiSb2: optimized geometry, PBE-GGA.

Computed properties:
energy relative to the lowest polymorph listed for this composition	209	meV per atom
formation energy without anion corrections	390	meV/atom

a b c (Å): 3.557 3.557 24.266
angles (deg): 90.00 90.00 90.00
Space group I4_1/amd (No. 141, origin choice 2)
Inequivalent atoms, fractional coordinates:
Si (0.000, 0.250, 0.375) x4
Sb (0.000, 0.250, 0.811) x8


(6)
Li3NdTe3: optimized geometry, PBE-GGA.

Computed properties:
formation energy without anion corrections	-1175	meV/atom

a b c (Å): 7.9979 7.9979 22.1313
angles (deg): 90.00 90.00 120.00
Space group R-3 (No. 148, hexagonal axes)
Inequivalent atoms, fractional coordinates:
Li (0.0058, 0.3182, 0.1217) x18
Nd (0.0000, 0.0000, 0.3341) x6
Te (0.0030, 0.3528, 0.9167) x18


(7)
BiB3C: optimized geometry, PBE-GGA.

Computed properties:
energy relative to the lowest polymorph listed for this composition	0	meV per atom
formation energy from the elements	10.0	eV/f.u.

a b c (Å): 3.813 3.813 3.813
angles (deg): 90.00 90.00 90.00
Space group Pm-3m (No. 221)
Inequivalent atoms, fractional coordinates:
Bi (0.000, 0.000, 0.000) x1
B (0.000, 0.500, 0.500) x3
C (0.500, 0.500, 0.500) x1


(8)
NiRh3Au: optimized geometry, PBE-GGA.

Computed properties:
energy relative to the lowest polymorph listed for this composition	0	meV per atom
formation energy from the elements	5.4	eV/f.u.

a b c (Å): 4.467 4.467 4.467
angles (deg): 90.00 90.00 90.00
Space group Pm-3m (No. 221)
Inequivalent atoms, fractional coordinates:
Ni (0.000, 0.000, 0.000) x1
Rh (0.000, 0.000, 0.500) x3
Au (0.500, 0.500, 0.500) x1


(9)
CePr2Al6: optimized geometry, PBE-GGA.

Computed properties:
formation energy from the elements	-4.0	eV/f.u.

a b c (Å): 7.9996 7.9996 3.7199
angles (deg): 90.00 90.00 120.00
Space group P6/mmm (No. 191)
Inequivalent atoms, fractional coordinates:
Ce (0.0000, 0.0000, 0.0000) x1
Pr (0.3333, 0.6667, 0.0000) x2
Al (0.0000, 0.3313, 0.5000) x6


(10)
Be4ZnAu: optimized geometry, PBE-GGA.

Computed properties:
formation energy from the elements	-0.6	eV/f.u.

a b c (Å): 6.313 6.313 6.313
angles (deg): 90.00 90.00 90.00
Space group F-43m (No. 216)
Inequivalent atoms, fractional coordinates:
Be (0.125, 0.125, 0.125) x16
Zn (0.250, 0.250, 0.750) x4
Au (0.000, 0.000, 0.500) x4


(11)
SnMo2C: optimized geometry, PBE-GGA.

Computed properties:
energy relative to the lowest polymorph listed for this composition	1346	meV per atom
formation energy from the elements	5.4	eV/f.u.

a b c (Å): 6.202 6.202 6.202
angles (deg): 90.00 90.00 90.00
Space group Fm-3m (No. 225)
Inequivalent atoms, fractional coordinates:
Sn (0.000, 0.000, 0.000) x4
Mo (0.250, 0.250, 0.250) x8
C (0.000, 0.000, 0.500) x4


(12)
HfTi2Os: optimized geometry, PBE-GGA.

Computed properties:
energy relative to the lowest polymorph listed for this composition	0	meV per atom
formation energy from the elements	-1.6	eV/f.u.

a b c (Å): 3.166 4.617 9.402
angles (deg): 90.00 90.00 90.00
Space group Immm (No. 71)
Inequivalent atoms, fractional coordinates:
Hf (0.000, 0.000, 0.000) x2
Ti (0.000, 0.500, 0.227) x4
Os (0.000, 0.000, 0.500) x2


(13)
KMn4Si: optimized geometry, PBE-GGA.

Computed properties:
formation energy without anion corrections	874	meV/atom

a b c (Å): 7.318 7.318 7.318
angles (deg): 90.00 90.00 90.00
Space group F-43m (No. 216)
Inequivalent atoms, fractional coordinates:
K (0.000, 0.000, 0.000) x4
Mn (0.122, 0.122, 0.622) x16
Si (0.250, 0.250, 0.250) x4


(14)
Sm3Ir: optimized geometry, PBE-GGA.

Computed properties:
formation energy from the elements	-1.5	eV/f.u.

a b c (Å): 3.721 11.094 5.393
angles (deg): 90.00 90.00 90.00
Space group Imm2 (No. 44)
Inequivalent atoms, fractional coordinates:
Sm (0.000, 0.000, 0.000) x2
Sm (0.000, 0.197, 0.500) x4
Ir (0.000, 0.500, 0.996) x2


(15)
PrEuAg: optimized geometry, PBE-GGA.

Computed properties:
energy relative to the lowest polymorph listed for this composition	128	meV per atom
formation energy from the elements	0.0	eV/f.u.

a b c (Å): 5.2357 5.2357 3.7964
angles (deg): 90.00 90.00 120.00
Space group P3m1 (No. 156)
Inequivalent atoms, fractional coordinates:
Pr (0.0000, 0.0000, 0.0000) x1
Eu (0.3333, 0.6667, 0.5747) x1
Ag (0.6667, 0.3333, 0.2863) x1


(16)
Rb3AgF6: optimized geometry, PBE-GGA.

Computed properties:
energy relative to the lowest polymorph listed for this composition	30	meV per atom
formation energy without anion corrections	-2091	meV/atom

a b c (Å): 9.465 9.465 9.465
angles (deg): 90.00 90.00 90.00
Space group Fm-3m (No. 225)
Inequivalent atoms, fractional coordinates:
Rb (0.000, 0.000, 0.000) x4
Rb (0.250, 0.250, 0.250) x8
Ag (0.000, 0.000, 0.500) x4
F (0.000, 0.000, 0.277) x24


(17)
ZrAgTe2: optimized geometry, PBE-GGA.

Computed properties:
formation energy without anion corrections	-479	meV/atom

a b c (Å): 3.845 4.132 14.471
angles (deg): 90.00 90.00 90.00
Space group Imm2 (No. 44)
Inequivalent atoms, fractional coordinates:
Zr (0.000, 0.000, 0.000) x2
Ag (0.000, 0.500, 0.847) x2
Te (0.000, 0.000, 0.578) x2
Te (0.000, 0.500, 0.342) x2


(18)
AlAsH4O6: optimized geometry, PBE-GGA.

a b c (Å): 8.891 9.890 10.258
angles (deg): 90.00 90.00 90.00
Space group Pbca (No. 61)
Inequivalent atoms, fractional coordinates:
Al (0.150, 0.181, 0.129) x8
As (0.033, 0.637, 0.650) x8
H (0.143, 0.591, 0.974) x8
H (0.166, 0.602, 0.312) x8
H (0.185, 0.180, 0.370) x8
H (0.207, 0.031, 0.570) x8
O (0.003, 0.199, 0.698) x8
O (0.007, 0.035, 0.141) x8
O (0.087, 0.219, 0.956) x8
O (0.185, 0.570, 0.060) x8
O (0.218, 0.667, 0.610) x8
O (0.226, 0.124, 0.296) x8


(19)
CoPdRu: optimized geometry, PBE-GGA.

Computed properties:
energy relative to the lowest polymorph listed for this composition	23	meV per atom
formation energy from the elements	0.5	eV/f.u.

a b c (Å): 4.627 2.697 6.671
angles (deg): 90.00 103.56 90.00
Space group P2/m (No. 10)
Inequivalent atoms, fractional coordinates:
Co (0.211, 0.000, 0.156) x2
Pd (0.000, 0.000, 0.500) x1
Pd (0.500, 0.500, 0.500) x1
Ru (0.279, 0.500, 0.851) x2


(20)
CsBi2SeI: optimized geometry, PBE-GGA.

Computed properties:
formation energy without anion corrections	1083	meV/atom

a b c (Å): 6.605 6.605 5.667
angles (deg): 90.00 90.00 90.00
Space group P4/mmm (No. 123)
Inequivalent atoms, fractional coordinates:
Cs (0.000, 0.000, 0.000) x1
Bi (0.000, 0.500, 0.000) x2
Se (0.000, 0.000, 0.500) x1
I (0.500, 0.500, 0.500) x1


no.,VASP energy (eV for the cell shown),size of the total moment (μB per formula unit)
1,-64.5,0.00
2,-114.2,3.00
3,-90.1,0.00
4,-40.3,0.00
5,-50.0,0.00
6,-168.9,0.00
7,-23.1,0.00
8,-25.7,3.33
9,-41.9,0.59
10,-80.1,0.00
11,-118.0,0.00
12,-77.2,0.00
13,-151.8,11.73
14,-49.0,0.00
15,-17.9,7.19
16,-151.6,2.00
17,-39.2,0.00
18,-558.3,0.00
19,-42.2,1.87
20,-8.2,1.22